8
Lattice="-0.7065 -1.7180 -3.8012 1.4447 -3.7175 1.4116 -6.3753 -1.7306 1.9671" Properties=species:S:1:pos:R:3 comment="DyGa2FeIr4 PBE relaxed" total_energy_ev_per_atom=-7.224 sg="P4/mmm (123)" pbc="T T T"
Fe -2.8186 -3.5830 -0.2113
Ga -3.1877 -0.8653 0.9835
Ir -4.9486 -2.1064 -0.4827
Ir -2.1332 -1.3421 -1.3514
Ir -3.8731 -3.1062 2.1237
Ir -1.0576 -2.3419 1.2550
Dy 0.0000 0.0000 0.0000
Ga 0.3691 -2.7177 -1.1948